Entry 1:
First-principles (GGA-PBE) data for Co2WAu after structural relaxation, as listed in Alexandria via LeMat-Bulk.

Properties
**Energy relative to the lowest polymorph listed for this composition**: 121 meV per atom
**Energy relative to the elements**: 0.28 eV/atom
**Total DFT energy (no corrections)**: -0.270 Ha/atom

Cell lengths 4.7246, 4.7246, 4.5328 Å; angles 77.87, 77.87, 33.75 degrees
With the nearest neighbours (Å) after each atom.
Atoms (fractional coordinates):
Au (0.2556, 0.2556, 0.2306)  7 Co 2.64-2.71, 2 Au 2.74, 3 W 2.78-2.84
Co (0.0130, 0.0130, 0.9940)  4 Co 2.53-2.74, 4 W 2.53-2.78, 3 Au 2.65-2.71
Co (0.7399, 0.7399, 0.7404)  4 Co 2.53-2.74, 3 W 2.61-2.64, 4 Au 2.64-2.66
W (0.4915, 0.4915, 0.5350)  7 Co 2.53-2.78, 2 W 2.74, 3 Au 2.78-2.84

=====

Entry 2:
First-principles (GGA-PBE) data for Y2Zn2Ru after structural relaxation, as listed in Alexandria via LeMat-Bulk.

Properties
**Energy relative to the lowest polymorph listed for this composition**: 177 meV per atom
**Energy relative to the elements**: -0.18 eV/atom
**Total DFT energy (no corrections)**: -0.188 Ha/atom

Cell lengths 6.9010, 6.9010, 4.3260 Å; angles 90.00, 90.00, 90.00 degrees
With the nearest neighbours (Å) after each atom.
Atoms (fractional coordinates):
Y (0.1869, 0.6869, 0.5000)  6 Zn 2.83-3.09
Y (0.6869, 0.8131, 0.5000)  6 Zn 2.83-3.09
Y (0.8131, 0.3131, 0.5000)  6 Zn 2.83-3.09
Y (0.3131, 0.1869, 0.5000)  6 Zn 2.83-3.09
Ru (0.0000, 0.0000, 0.0000)  4 Zn 2.72
Ru (0.5000, 0.5000, 0.0000)  4 Zn 2.72
Zn (0.3737, 0.8737, 0.0000)  1 Zn 2.46, 2 Ru 2.72
Zn (0.8737, 0.6263, 0.0000)  1 Zn 2.46, 2 Ru 2.72
Zn (0.6263, 0.1263, 0.0000)  1 Zn 2.46, 2 Ru 2.72
Zn (0.1263, 0.3737, 0.0000)  1 Zn 2.46, 2 Ru 2.72